La2Nd6Y PBE optimized geometry; total moment = 0.00 μB/f.u.; DFT formation energy = 52 meV per atom; excess energy over the best structure of this formula in the dataset = 0 meV/atom; D(E_F) = 14.67 states/eV/f.u.
1.0
8.7788 -0.7547 2.6751
3.2853 7.6448 3.9722
0.9805 -0.7547 9.1248
La Nd Y
4 12 2
direct
0.3380 0.6656 0.5027
0.6620 0.3344 0.4973
0.4973 0.8344 0.6620
0.5027 0.1656 0.3380
0.5867 0.5872 0.0760
0.9240 0.9128 0.4133
0.0760 0.0872 0.5867
0.8315 0.5005 0.6639
0.0006 0.3330 0.1675
0.9994 0.6670 0.8325
0.1685 0.4995 0.3361
0.8325 0.1670 0.9994
0.1675 0.8330 0.0006
0.4133 0.4128 0.9240
0.3361 0.9995 0.1685
0.6639 0.0005 0.8315
0.7593 0.7500 0.2407
0.2407 0.2500 0.7593



Ca2SmAg3 PBE optimized geometry; total moment = 0.00 μB/f.u.; DFT formation energy = -303 meV per atom; D(E_F) = 4.38 states/eV/f.u.
1.0
-1.6937 2.4542 2.1886
-4.4644 -2.7296 -0.3942
4.2659 -2.8752 6.5253
Sm Ca Ag
1 2 3
direct
0.0000 0.0000 0.0000
0.0000 0.3325 0.6650
0.0000 0.6675 0.3350
0.5000 0.1615 0.3229
0.5000 0.8385 0.6771
0.5000 0.5000 0.0000



Question: Which value of D(E_F) does entry 1 give?
Answer: 14.67 states/eV/f.u.